Below is an optimized crystal structure of NiHgPbSe3, with properties calculated at the PBE-GGA level.

Total magnetic moment in μB/atom: 0.076
Energy relative to the lowest polymorph listed for this composition in eV per atom: 0.052

```
data_NiHgPbSe3
_space_group_name_H-M_alt 'C m c m'
_space_group_IT_number 63
_space_group_name_Hall '-C 2c 2'
_cell_length_a 3.967
_cell_length_b 12.879
_cell_length_c 11.256
_cell_angle_alpha 90.00
_cell_angle_beta 90.00
_cell_angle_gamma 90.00
loop_
_atom_site_label
_atom_site_type_symbol
_atom_site_fract_x
_atom_site_fract_y
_atom_site_fract_z
Ni1 Ni 0.000 0.038 0.250
Hg1 Hg 0.000 0.500 0.000
Pb1 Pb 0.000 0.259 0.750
Se1 Se 0.000 0.144 0.075
Se2 Se 0.000 0.436 0.250
```

=====

Below is an optimized crystal structure of LuTaPb2, with properties calculated at the PBE-GGA level.

Raw total energy in eV per atom: -5.358
Total magnetic moment in μB/atom: 0.451

```
data_LuTaPb2
_space_group_name_H-M_alt 'F -4 3 m'
_space_group_IT_number 216
_space_group_name_Hall 'F -4 2 3'
_cell_length_a 7.407
_cell_length_b 7.407
_cell_length_c 7.407
_cell_angle_alpha 90.00
_cell_angle_beta 90.00
_cell_angle_gamma 90.00
loop_
_atom_site_label
_atom_site_type_symbol
_atom_site_fract_x
_atom_site_fract_y
_atom_site_fract_z
Lu1 Lu 0.000 0.000 0.000
Ta1 Ta 0.250 0.250 0.750
Pb1 Pb 0.000 0.000 0.500
Pb2 Pb 0.250 0.250 0.250
```

=====

Below is an optimized crystal structure of NbCuNiPb, with properties calculated at the PBE-GGA level.

Total magnetic moment in μB/atom: 0.004
Energy relative to the lowest polymorph listed for this composition in eV per atom: 0.108

```
data_NbCuNiPb
_space_group_name_H-M_alt 'F -4 3 m'
_space_group_IT_number 216
_space_group_name_Hall 'F -4 2 3'
_cell_length_a 6.431
_cell_length_b 6.431
_cell_length_c 6.431
_cell_angle_alpha 90.00
_cell_angle_beta 90.00
_cell_angle_gamma 90.00
loop_
_atom_site_label
_atom_site_type_symbol
_atom_site_fract_x
_atom_site_fract_y
_atom_site_fract_z
Nb1 Nb 0.000 0.000 0.000
Cu1 Cu 0.000 0.000 0.500
Ni1 Ni 0.250 0.250 0.750
Pb1 Pb 0.250 0.250 0.250
```

=====

Below is an optimized crystal structure of NaLaOs, with properties calculated at the PBE-GGA level.

Total magnetic moment in μB/atom: 0.000
Energy relative to the lowest polymorph listed for this composition in eV per atom: 0.000

```
data_NaLaOs
_space_group_name_H-M_alt 'F -4 3 m'
_space_group_IT_number 216
_space_group_name_Hall 'F -4 2 3'
_cell_length_a 6.706
_cell_length_b 6.706
_cell_length_c 6.706
_cell_angle_alpha 90.00
_cell_angle_beta 90.00
_cell_angle_gamma 90.00
loop_
_atom_site_label
_atom_site_type_symbol
_atom_site_fract_x
_atom_site_fract_y
_atom_site_fract_z
Na1 Na 0.000 0.000 0.000
La1 La 0.000 0.000 0.500
Os1 Os 0.250 0.250 0.750
```

=====

Below is an optimized crystal structure of NbRe2O6, with properties calculated at the PBE-GGA level.

Raw total energy in eV per atom: -8.701
Total magnetic moment in μB/atom: 0.006

```
data_NbRe2O6
_space_group_name_H-M_alt 'P 1 21/c 1'
_space_group_IT_number 14
_cell_length_a 5.039
_cell_length_b 8.101
_cell_length_c 5.335
_cell_angle_alpha 90.00
_cell_angle_beta 99.22
_cell_angle_gamma 90.00
loop_
_space_group_symop_operation_xyz
'x,y,z'
'-x,-y,-z'
'-x,y+1/2,-z+1/2'
'x,-y+1/2,z+1/2'
loop_
_atom_site_label
_atom_site_type_symbol
_atom_site_fract_x
_atom_site_fract_y
_atom_site_fract_z
Nb1 Nb 0.000 0.000 0.000
Re1 Re 0.445 0.130 0.543
O1 O 0.175 0.040 0.711
O2 O 0.236 0.161 0.205
O3 O 0.319 0.681 0.632
```

=====

Below is an optimized crystal structure of AlFeAgW, with properties calculated at the PBE-GGA level.

Total magnetic moment in μB/atom: 0.009
Energy relative to the lowest polymorph listed for this composition in eV per atom: 0.000

```
data_AlFeAgW
_space_group_name_H-M_alt 'F -4 3 m'
_space_group_IT_number 216
_space_group_name_Hall 'F -4 2 3'
_cell_length_a 6.153
_cell_length_b 6.153
_cell_length_c 6.153
_cell_angle_alpha 90.00
_cell_angle_beta 90.00
_cell_angle_gamma 90.00
loop_
_atom_site_label
_atom_site_type_symbol
_atom_site_fract_x
_atom_site_fract_y
_atom_site_fract_z
Al1 Al 0.000 0.000 0.000
Fe1 Fe 0.250 0.250 0.250
Ag1 Ag 0.250 0.250 0.750
W1 W 0.000 0.000 0.500
```

=====

Below is an optimized crystal structure of LaGdBr2O2, with properties calculated at the PBE-GGA level.

Raw total energy in eV per atom: -6.745
Total magnetic moment in μB/atom: 0.000

```
data_LaGdBr2O2
_space_group_name_H-M_alt 'P 4 m m'
_space_group_IT_number 99
_cell_length_a 3.955
_cell_length_b 3.955
_cell_length_c 8.279
_cell_angle_alpha 90.00
_cell_angle_beta 90.00
_cell_angle_gamma 90.00
loop_
_space_group_symop_operation_xyz
'x,y,z'
'-y,x,z'
'-x,-y,z'
'y,-x,z'
'-x,y,z'
'y,x,z'
'x,-y,z'
'-y,-x,z'
loop_
_atom_site_label
_atom_site_type_symbol
_atom_site_fract_x
_atom_site_fract_y
_atom_site_fract_z
La1 La 0.000 0.000 0.000
Gd1 Gd 0.500 0.500 0.710
Br1 Br 0.000 0.000 0.514
Br2 Br 0.500 0.500 0.197
O1 O 0.000 0.500 0.846
```

=====

Below is an optimized crystal structure of LuScTl2, with properties calculated at the PBE-GGA level.

Raw total energy in eV per atom: -3.715
Total magnetic moment in μB/atom: 0.266

```
data_LuScTl2
_space_group_name_H-M_alt 'F -4 3 m'
_space_group_IT_number 216
_space_group_name_Hall 'F -4 2 3'
_cell_length_a 7.499
_cell_length_b 7.499
_cell_length_c 7.499
_cell_angle_alpha 90.00
_cell_angle_beta 90.00
_cell_angle_gamma 90.00
loop_
_atom_site_label
_atom_site_type_symbol
_atom_site_fract_x
_atom_site_fract_y
_atom_site_fract_z
Lu1 Lu 0.000 0.000 0.000
Sc1 Sc 0.250 0.250 0.250
Tl1 Tl 0.000 0.000 0.500
Tl2 Tl 0.250 0.250 0.750
```

=====

Below is an optimized crystal structure of MgGaTcW, with properties calculated at the PBE-GGA level.

Total magnetic moment in μB/atom: 0.168
Energy relative to the lowest polymorph listed for this composition in eV per atom: 0.484

```
data_MgGaTcW
_space_group_name_H-M_alt 'F -4 3 m'
_space_group_IT_number 216
_space_group_name_Hall 'F -4 2 3'
_cell_length_a 6.277
_cell_length_b 6.277
_cell_length_c 6.277
_cell_angle_alpha 90.00
_cell_angle_beta 90.00
_cell_angle_gamma 90.00
loop_
_atom_site_label
_atom_site_type_symbol
_atom_site_fract_x
_atom_site_fract_y
_atom_site_fract_z
Mg1 Mg 0.000 0.000 0.000
Ga1 Ga 0.000 0.000 0.500
Tc1 Tc 0.250 0.250 0.250
W1 W 0.250 0.250 0.750
```

=====

Below is an optimized crystal structure of PrPa, with properties calculated at the PBE-GGA level.

Total magnetic moment in μB/atom: 0.006
Formation enthalpy at 0 K in eV per atom: 0.299
Energy relative to the lowest polymorph listed for this composition in eV per atom: 0.000

```
data_PrPa
_space_group_name_H-M_alt 'P -6 m 2'
_space_group_IT_number 187
_space_group_name_Hall 'P -6 2'
_cell_length_a 3.3515
_cell_length_b 3.3515
_cell_length_c 6.0145
_cell_angle_alpha 90.00
_cell_angle_beta 90.00
_cell_angle_gamma 120.00
loop_
_atom_site_label
_atom_site_type_symbol
_atom_site_fract_x
_atom_site_fract_y
_atom_site_fract_z
Pr1 Pr 0.0000 0.0000 0.0000
Pa1 Pa 0.3333 0.6667 0.5000
```

=====

Below is an optimized crystal structure of GdDy2Al3Cu3, with properties calculated at the PBE-GGA level.

Raw total energy in eV per atom: -4.476
Total magnetic moment in μB/atom: 0.001

```
data_GdDy2Al3Cu3
_space_group_name_H-M_alt 'A m m 2'
_space_group_IT_number 38
_cell_length_a 4.015
_cell_length_b 12.170
_cell_length_c 7.041
_cell_angle_alpha 90.00
_cell_angle_beta 90.00
_cell_angle_gamma 90.00
loop_
_space_group_symop_operation_xyz
'x,y,z'
'-x,-y,z'
'-x,y,z'
'x,-y,z'
'x,y+1/2,z+1/2'
'-x,-y+1/2,z+1/2'
'-x,y+1/2,z+1/2'
'x,-y+1/2,z+1/2'
loop_
_atom_site_label
_atom_site_type_symbol
_atom_site_fract_x
_atom_site_fract_y
_atom_site_fract_z
Gd1 Gd 0.000 0.000 0.000
Dy1 Dy 0.000 0.207 0.622
Al1 Al 0.500 0.000 0.650
Al2 Al 0.500 0.118 0.298
Cu1 Cu 0.000 0.000 0.417
Cu2 Cu 0.500 0.168 0.914
```

=====

Below is an optimized crystal structure of Ag6PdO8, with properties calculated at the PBE-GGA level.

Raw total energy in eV per atom: -4.178

```
data_Ag6PdO8
_space_group_name_H-M_alt 'F m -3 m'
_space_group_IT_number 225
_space_group_name_Hall '-F 4 2 3'
_cell_length_a 9.194
_cell_length_b 9.194
_cell_length_c 9.194
_cell_angle_alpha 90.00
_cell_angle_beta 90.00
_cell_angle_gamma 90.00
loop_
_atom_site_label
_atom_site_type_symbol
_atom_site_fract_x
_atom_site_fract_y
_atom_site_fract_z
Ag1 Ag 0.000 0.250 0.250
Pd1 Pd 0.000 0.000 0.000
O1 O 0.000 0.000 0.220
O2 O 0.250 0.250 0.250
```